Record 1
## Li2AgSe (PBE-GGA)

Data for an optimized crystal structure of Li2AgSe.

Cell and atoms, written as CIF:
```
data_Li2AgSe
_cell_length_a 4.159
_cell_length_b 4.162
_cell_length_c 3.780
_cell_angle_alpha 90.00
_cell_angle_beta 90.00
_cell_angle_gamma 90.00
_space_group_name_H-M_alt 'P 1'
_space_group_IT_number 1
_space_group_name_Hall 'P 1'
loop_
_atom_site_label
_atom_site_fract_x
_atom_site_fract_y
_atom_site_fract_z
Ag1 0.000 0.500 0.500
Li1 0.500 0.500 0.000
Se1 0.500 0.000 0.500
Li2 0.000 0.000 0.000
```

VASP energy: -0.11518 hartree per atom
formation energy without anion corrections: -0.593 eV/atom
total magnetic moment: 0.0000 μB per atom
crystal system: tetragonal
density of states at the Fermi level: 0.65 states/eV/f.u.
SG: P4/mmm, No. 123

---

Record 2
## LiAg2Se (PBE-GGA)

Data for an optimized crystal structure of LiAg2Se.

Cell and atoms, written as CIF:
```
data_LiAg2Se
_cell_length_a 3.521
_cell_length_b 3.521
_cell_length_c 5.816
_cell_angle_alpha 90.00
_cell_angle_beta 90.00
_cell_angle_gamma 90.00
_space_group_name_H-M_alt 'P 1'
_space_group_IT_number 1
_space_group_name_Hall 'P 1'
loop_
_atom_site_label
_atom_site_fract_x
_atom_site_fract_y
_atom_site_fract_z
Li1 0.000 0.000 0.527
Se1 0.500 0.500 0.719
Ag1 0.500 0.500 0.250
Ag2 0.000 0.000 0.003
```

VASP energy: -0.11118 hartree per atom
formation energy without anion corrections: -0.250 eV/atom
total magnetic moment: 0.0000 μB per atom
crystal system: tetragonal
density of states at the Fermi level: 1.28 states/eV/f.u.
SG: P4mm, No. 99

---

Record 3
## LiAg2Se (PBE-GGA)

Data for an optimized crystal structure of LiAg2Se.

Cell and atoms, written as CIF:
```
data_LiAg2Se
_cell_length_a 9.996
_cell_length_b 9.996
_cell_length_c 9.996
_cell_angle_alpha 16.84
_cell_angle_beta 16.84
_cell_angle_gamma 16.84
_space_group_name_H-M_alt 'P 1'
_space_group_IT_number 1
_space_group_name_Hall 'P 1'
loop_
_atom_site_label
_atom_site_fract_x
_atom_site_fract_y
_atom_site_fract_z
Se1 0.750 0.750 0.750
Ag1 0.509 0.509 0.509
Ag2 0.991 0.991 0.991
Li1 0.250 0.250 0.250
```

VASP energy: -0.10041 hartree per atom
formation energy without anion corrections: 0.043 eV/atom
total magnetic moment: 0.0196 μB per atom
crystal system: trigonal
density of states at the Fermi level: 2.96 states/eV/f.u.
SG: R-3m, No. 166

---

Record 4
## Li2AgSe (PBE-GGA)

Data for an optimized crystal structure of Li2AgSe.

Cell and atoms, written as CIF:
```
data_Li2AgSe
_cell_length_a 3.437
_cell_length_b 3.437
_cell_length_c 5.773
_cell_angle_alpha 90.00
_cell_angle_beta 90.00
_cell_angle_gamma 90.00
_space_group_name_H-M_alt 'P 1'
_space_group_IT_number 1
_space_group_name_Hall 'P 1'
loop_
_atom_site_label
_atom_site_fract_x
_atom_site_fract_y
_atom_site_fract_z
Li1 0.000 0.000 0.035
Se1 0.500 0.500 0.250
Li2 0.000 0.000 0.465
Ag1 0.500 0.500 0.750
```

VASP energy: -0.11325 hartree per atom
formation energy without anion corrections: -0.541 eV/atom
total magnetic moment: 0.0000 μB per atom
crystal system: tetragonal
density of states at the Fermi level: 1.89 states/eV/f.u.
SG: P4/mmm, No. 123

---

Record 5
## LiAg2Se (PBE-GGA)

Data for an optimized crystal structure of LiAg2Se.

Cell and atoms, written as CIF:
```
data_LiAg2Se
_cell_length_a 3.904
_cell_length_b 2.938
_cell_length_c 6.621
_cell_angle_alpha 76.71
_cell_angle_beta 90.00
_cell_angle_gamma 90.00
_space_group_name_H-M_alt 'P 1'
_space_group_IT_number 1
_space_group_name_Hall 'P 1'
loop_
_atom_site_label
_atom_site_fract_x
_atom_site_fract_y
_atom_site_fract_z
Li1 0.000 0.550 0.522
Ag1 0.500 0.184 0.259
Se1 0.500 0.965 0.690
Ag2 0.000 0.801 0.028
```

VASP energy: -0.11266 hartree per atom
formation energy without anion corrections: -0.290 eV/atom
total magnetic moment: 0.0000 μB per atom
crystal system: monoclinic
density of states at the Fermi level: 0.78 states/eV/f.u.
SG: Pm, No. 6

---

Record 6
## LiAgSe (PBE-GGA)

Data for an optimized crystal structure of LiAgSe.

Cell and atoms, written as CIF:
```
data_LiAgSe
_cell_length_a 4.363
_cell_length_b 4.363
_cell_length_c 3.975
_cell_angle_alpha 90.00
_cell_angle_beta 90.00
_cell_angle_gamma 120.00
_space_group_name_H-M_alt 'P 1'
_space_group_IT_number 1
_space_group_name_Hall 'P 1'
loop_
_atom_site_label
_atom_site_fract_x
_atom_site_fract_y
_atom_site_fract_z
Ag1 0.000 0.000 0.867
Li1 0.667 0.333 0.437
Se1 0.333 0.667 0.696
```

VASP energy: -0.11857 hartree per atom
formation energy without anion corrections: -0.477 eV/atom
total magnetic moment: 0.0000 μB per atom
crystal system: trigonal
density of states at the Fermi level: 0.10 states/eV/f.u.
SG: P3m1, No. 156

---

Record 7
## LiAgSe (PBE-GGA)

Data for an optimized crystal structure of LiAgSe.

Cell and atoms, written as CIF:
```
data_LiAgSe
_cell_length_a 6.802
_cell_length_b 6.731
_cell_length_c 2.920
_cell_angle_alpha 78.91
_cell_angle_beta 76.18
_cell_angle_gamma 24.92
_space_group_name_H-M_alt 'P 1'
_space_group_IT_number 1
_space_group_name_Hall 'P 1'
loop_
_atom_site_label
_atom_site_fract_x
_atom_site_fract_y
_atom_site_fract_z
Se1 0.689 0.689 0.311
Ag1 0.986 0.986 0.014
Li1 0.325 0.325 0.675
```

VASP energy: -0.10907 hartree per atom
formation energy without anion corrections: -0.218 eV/atom
total magnetic moment: 0.0000 μB per atom
crystal system: orthorhombic
density of states at the Fermi level: 0.98 states/eV/f.u.
SG: Fmm2, No. 42

---

Record 8
## Li2Ag4Se3 (PBE-GGA)

Data for an optimized crystal structure of Li2Ag4Se3.

Cell and atoms, written as CIF:
```
data_Li2Ag4Se3
_cell_length_a 4.535
_cell_length_b 9.504
_cell_length_c 9.505
_cell_angle_alpha 96.76
_cell_angle_beta 103.79
_cell_angle_gamma 103.79
_space_group_name_H-M_alt 'P 1'
_space_group_IT_number 1
_space_group_name_Hall 'P 1'
loop_
_atom_site_label
_atom_site_fract_x
_atom_site_fract_y
_atom_site_fract_z
Li1 0.529 0.216 0.339
Li2 0.471 0.784 0.661
Ag1 0.875 0.795 0.455
Li3 0.029 0.339 0.216
Ag2 0.123 0.669 0.078
Se1 0.082 0.939 0.727
Se2 0.250 0.624 0.376
Se3 0.918 0.061 0.273
Ag3 0.377 0.922 0.331
Ag4 0.375 0.455 0.795
Ag5 0.625 0.545 0.205
Se4 0.750 0.376 0.624
Li4 0.971 0.661 0.784
Se5 0.418 0.273 0.061
Ag6 0.623 0.078 0.669
Se6 0.582 0.727 0.939
Ag7 0.125 0.205 0.545
Ag8 0.877 0.331 0.922
```

VASP energy: -0.11865 hartree per atom
formation energy without anion corrections: -0.375 eV/atom
total magnetic moment: 0.0000 μB per atom
crystal system: monoclinic
density of states at the Fermi level: 0.47 states/eV/f.u.
SG: C2/c, No. 15

---

Record 9
## Li2AgSe (PBE-GGA)

Data for an optimized crystal structure of Li2AgSe.

Cell and atoms, written as CIF:
```
data_Li2AgSe
_cell_length_a 5.200
_cell_length_b 5.200
_cell_length_c 5.200
_cell_angle_alpha 135.69
_cell_angle_beta 135.39
_cell_angle_gamma 64.70
_space_group_name_H-M_alt 'P 1'
_space_group_IT_number 1
_space_group_name_Hall 'P 1'
loop_
_atom_site_label
_atom_site_fract_x
_atom_site_fract_y
_atom_site_fract_z
Se1 0.499 0.499 0.000
Ag1 0.749 0.249 0.500
Li1 0.000 0.000 0.000
Li2 0.252 0.752 0.500
```

VASP energy: -0.11262 hartree per atom
formation energy without anion corrections: -0.524 eV/atom
total magnetic moment: 0.0000 μB per atom
crystal system: orthorhombic
density of states at the Fermi level: 1.25 states/eV/f.u.
SG: Imm2, No. 44

---

Record 10
## Li2AgSe (PBE-GGA)

Data for an optimized crystal structure of Li2AgSe.

Cell and atoms, written as CIF:
```
data_Li2AgSe
_cell_length_a 4.677
_cell_length_b 4.677
_cell_length_c 4.677
_cell_angle_alpha 60.00
_cell_angle_beta 60.00
_cell_angle_gamma 60.00
_space_group_name_H-M_alt 'P 1'
_space_group_IT_number 1
_space_group_name_Hall 'P 1'
loop_
_atom_site_label
_atom_site_fract_x
_atom_site_fract_y
_atom_site_fract_z
Se1 0.750 0.750 0.750
Ag1 0.500 0.500 0.500
Li1 0.000 0.000 0.000
Li2 0.250 0.250 0.250
```

VASP energy: -0.10932 hartree per atom
formation energy without anion corrections: -0.434 eV/atom
total magnetic moment: 0.0000 μB per atom
crystal system: cubic
density of states at the Fermi level: 2.25 states/eV/f.u.
SG: F-43m, No. 216

---

Record 11
## LiAg2Se (PBE-GGA)

Data for an optimized crystal structure of LiAg2Se.

Cell and atoms, written as CIF:
```
data_LiAg2Se
_cell_length_a 4.912
_cell_length_b 4.912
_cell_length_c 4.912
_cell_angle_alpha 126.96
_cell_angle_beta 126.96
_cell_angle_gamma 78.31
_space_group_name_H-M_alt 'P 1'
_space_group_IT_number 1
_space_group_name_Hall 'P 1'
loop_
_atom_site_label
_atom_site_fract_x
_atom_site_fract_y
_atom_site_fract_z
Li1 0.500 0.500 0.000
Se1 0.750 0.250 0.500
Ag1 0.000 0.000 0.000
Ag2 0.250 0.750 0.500
```

VASP energy: -0.11038 hartree per atom
formation energy without anion corrections: -0.228 eV/atom
total magnetic moment: 0.0000 μB per atom
crystal system: tetragonal
density of states at the Fermi level: 1.51 states/eV/f.u.
SG: I-4m2, No. 119

---

Record 12
## Li2AgSe (PBE-GGA)

Data for an optimized crystal structure of Li2AgSe.

Cell and atoms, written as CIF:
```
data_Li2AgSe
_cell_length_a 7.428
_cell_length_b 7.428
_cell_length_c 7.428
_cell_angle_alpha 27.46
_cell_angle_beta 27.46
_cell_angle_gamma 27.46
_space_group_name_H-M_alt 'P 1'
_space_group_IT_number 1
_space_group_name_Hall 'P 1'
loop_
_atom_site_label
_atom_site_fract_x
_atom_site_fract_y
_atom_site_fract_z
Se1 0.250 0.250 0.250
Ag1 0.750 0.750 0.750
Li1 0.516 0.516 0.516
Li2 0.984 0.984 0.984
```

VASP energy: -0.10887 hartree per atom
formation energy without anion corrections: -0.422 eV/atom
total magnetic moment: 0.0000 μB per atom
crystal system: trigonal
density of states at the Fermi level: 0.84 states/eV/f.u.
SG: R-3m, No. 166